#i
A relaxed structure of OsWSe2. Source: Alexandria via LeMat-Bulk, functional PBE.

POSCAR file:
```
OsWSe2
1.0
-0.509 0.567 4.278
-1.336 -3.775 0.341
3.524 -1.820 0.660
Os Se W
1 2 1
direct
0.500 0.750 0.750
0.000 0.999 0.000
0.000 0.501 0.500
0.500 0.250 0.250
```

#ii
A relaxed structure of OsWSe2. Source: Alexandria via LeMat-Bulk, functional PBE.

POSCAR file:
```
OsWSe2
1.0
9.932 0.016 0.009
9.460 3.024 0.009
9.460 1.483 2.636
Os Se W
1 2 1
direct
0.754 0.754 0.754
0.026 0.026 0.026
0.225 0.225 0.225
0.496 0.496 0.496
```

#iii
A relaxed structure of OsWSe2. Source: Alexandria via LeMat-Bulk, functional PBE.

POSCAR file:
```
OsWSe2
1.0
-0.852 -4.173 1.261
1.254 -1.405 4.023
-3.053 -0.796 3.126
Os Se W
1 2 1
direct
0.500 0.500 0.500
0.250 0.250 0.250
0.750 0.750 0.750
0.000 0.000 0.000
```

#iv
A relaxed structure of OsWSe2. Source: Alexandria via LeMat-Bulk, functional PBE.

POSCAR file:
```
OsWSe2
1.0
2.977 0.000 0.000
0.000 2.977 0.000
0.000 0.000 8.351
Os Se W
1 2 1
direct
0.500 0.500 0.741
0.000 0.000 0.926
0.500 0.500 0.324
0.000 0.000 0.509
```

Ordering by calculated energy gives the sequence #iv, #ii, #iii, #i, with the first entry being the most stable.

#i
A relaxed structure of Os3WSe. Source: Alexandria via LeMat-Bulk, functional PBE.

POSCAR file:
```
Os3WSe
1.0
4.753 0.000 0.000
0.000 4.753 0.000
0.000 0.000 4.753
Os Se W
3 1 1
direct
0.000 0.500 0.000
0.000 0.000 0.500
0.500 0.000 0.000
0.500 0.500 0.500
0.000 0.000 0.000
```

#ii
A relaxed structure of Os3WSe. Source: Alexandria via LeMat-Bulk, functional PBE.

POSCAR file:
```
Os3WSe
1.0
-0.911 -0.011 -4.392
3.994 -1.869 -0.824
-1.828 -4.078 0.389
Os Se W
3 1 1
direct
0.000 0.500 0.000
0.000 0.000 0.500
0.500 0.000 0.000
0.000 0.000 0.000
0.500 0.500 0.500
```

Ordering by calculated energy gives the sequence #ii, #i, with the first entry being the most stable.

#i
A relaxed structure of OsW3Se. Source: Alexandria via LeMat-Bulk, functional PBE.

POSCAR file:
```
OsW3Se
1.0
4.517 0.000 0.000
0.000 4.517 0.000
0.000 0.000 4.517
Os Se W
1 1 3
direct
0.500 0.500 0.500
0.000 0.000 0.000
0.000 0.500 0.000
0.000 0.000 0.500
0.500 0.000 0.000
```

#ii
A relaxed structure of OsW3Se. Source: Alexandria via LeMat-Bulk, functional PBE.

POSCAR file:
```
OsW3Se
1.0
4.780 0.000 0.000
0.000 4.780 0.000
0.000 0.000 4.780
Os Se W
1 1 3
direct
0.000 0.000 0.000
0.500 0.500 0.500
0.000 0.500 0.000
0.000 0.000 0.500
0.500 0.000 0.000
```

Ordering by calculated energy gives the sequence #i, #ii, with the first entry being the most stable.

#i
A relaxed structure of YOsSe2. Source: Alexandria via LeMat-Bulk, functional PBE.

POSCAR file:
```
YOsSe2
1.0
3.424 5.635 5.215
5.472 6.132 1.766
1.862 7.885 2.243
Y Os Se
1 1 2
direct
0.500 0.500 0.500
0.000 0.000 0.000
0.900 0.900 0.900
0.100 0.100 0.100
```

#ii
A relaxed structure of YOsSe2. Source: Alexandria via LeMat-Bulk, functional PBE.

POSCAR file:
```
YOsSe2
1.0
3.371 -0.005 0.000
0.005 3.371 0.000
0.000 0.000 8.212
Os Se Y
1 2 1
direct
0.500 0.500 0.780
0.000 0.000 0.900
0.500 0.500 0.320
0.000 0.000 0.499
```

#iii
A relaxed structure of YOsSe2. Source: Alexandria via LeMat-Bulk, functional PBE.

POSCAR file:
```
YOsSe2
1.0
-4.427 -2.883 -2.688
0.581 -5.069 -3.018
1.455 2.557 5.146
Os Se Y
1 2 1
direct
0.750 0.250 0.500
0.000 0.000 0.000
0.250 0.750 0.500
0.500 0.500 0.000
```

Ordering by calculated energy gives the sequence #ii, #iii, #i, with the first entry being the most stable.

#i
A relaxed structure of YOsSe2. Source: Alexandria via LeMat-Bulk, functional PBE.

POSCAR file:
```
YOsSe2
1.0
-3.395 0.224 -2.105
2.424 -0.332 -3.946
-0.024 -4.624 -0.453
Os Se Y
1 2 1
direct
0.500 0.750 0.750
0.000 0.956 0.956
0.000 0.544 0.544
0.500 0.250 0.250
```

#ii
A relaxed structure of YOsSe2. Source: Alexandria via LeMat-Bulk, functional PBE.

POSCAR file:
```
YOsSe2
1.0
2.874 3.533 1.311
-0.902 2.442 3.960
2.804 -0.507 3.787
Y Os Se
1 1 2
direct
0.000 0.000 0.000
0.500 0.500 0.500
0.250 0.250 0.250
0.750 0.750 0.750
```

Ordering by calculated energy gives the sequence #i, #ii, with the first entry being the most stable.

#i
A relaxed structure of YOsSe2. Source: Alexandria via LeMat-Bulk, functional PBE.

POSCAR file:
```
YOsSe2
1.0
-3.597 -0.958 2.486
2.104 -2.001 2.272
1.902 3.295 4.022
Os Se Y
1 2 1
direct
0.500 0.928 0.779
0.000 0.852 0.924
0.500 0.154 0.310
0.000 0.566 0.487
```

#ii
A relaxed structure of YOsSe2. Source: Alexandria via LeMat-Bulk, functional PBE.

POSCAR file:
```
YOsSe2
1.0
-1.483 -4.590 0.349
3.132 -3.464 1.255
-0.338 -2.109 4.339
Os Se Y
1 2 1
direct
0.500 0.500 0.500
0.000 0.000 0.000
0.250 0.250 0.250
0.750 0.750 0.750
```

#iii
A relaxed structure of YOsSe2. Source: Alexandria via LeMat-Bulk, functional PBE.

POSCAR file:
```
YOsSe2
1.0
-1.982 4.452 1.609
-3.817 -2.534 2.312
1.129 0.522 8.130
Y Os Se
2 2 4
direct
0.500 0.500 0.000
0.250 0.750 0.500
0.000 0.000 0.000
0.750 0.250 0.500
0.684 0.125 0.250
0.066 0.625 0.250
0.375 0.316 0.750
0.875 0.934 0.750
```

Ordering by calculated energy gives the sequence #i, #iii, #ii, with the first entry being the most stable.

#i
A relaxed structure of YOsSe2. Source: Alexandria via LeMat-Bulk, functional PBE.

POSCAR file:
```
YOsSe2
1.0
-1.728 -3.959 -2.740
1.682 -1.567 4.570
-3.227 -2.255 2.243
Os Se Y
1 2 1
direct
0.000 0.500 0.500
0.000 0.000 0.000
0.500 0.500 0.000
0.500 0.000 0.500
```

#ii
A relaxed structure of YOsSe2. Source: Alexandria via LeMat-Bulk, functional PBE.

POSCAR file:
```
YOsSe2
1.0
-1.654 1.247 2.994
2.959 -0.815 1.974
2.224 5.502 -1.063
Os Se Y
1 2 1
direct
0.500 0.500 0.823
0.000 0.000 0.931
0.500 0.500 0.277
0.000 0.000 0.468
```

#iii
A relaxed structure of YOsSe2. Source: Alexandria via LeMat-Bulk, functional PBE.

POSCAR file:
```
YOsSe2
1.0
5.451 0.055 -0.496
4.157 3.527 -0.496
0.361 0.135 4.303
Os Se Y
1 2 1
direct
0.262 0.262 0.099
0.023 0.023 0.112
0.750 0.750 0.682
0.464 0.464 0.607
```

Ordering by calculated energy gives the sequence #ii, #iii, #i, with the first entry being the most stable.

#i
A relaxed structure of YZnOs2Se. Source: Alexandria via LeMat-Bulk, functional PBE.

POSCAR file:
```
YZnOs2Se
1.0
-2.800 4.123 -1.309
-4.387 -2.410 1.793
0.797 2.024 4.671
Y Zn Os Se
1 1 2 1
direct
0.000 0.000 0.000
0.500 0.500 0.500
0.000 0.000 0.500
0.500 0.000 0.000
0.000 0.500 0.000
```

#ii
A relaxed structure of YZnOs2Se. Source: Alexandria via LeMat-Bulk, functional PBE.

POSCAR file:
```
YZnOs2Se
1.0
4.560 0.000 0.000
0.000 5.187 0.000
0.000 0.000 4.560
Y Zn Os Se
1 1 2 1
direct
0.000 0.500 0.000
0.000 0.000 0.000
0.000 0.000 0.500
0.500 0.000 0.000
0.500 0.500 0.500
```

Ordering by calculated energy gives the sequence #ii, #i, with the first entry being the most stable.